TiNb5Ge4 | GGA-PBE | optimized geometry

The total energy is -7.762 eV/atom. For the magnetic moment, the calculation gives 0.0 μB per formula unit. Its density of states at the Fermi level is 5.9 states/eV/f.u.

The structure belongs to space group Pmmn (No. 59, origin choice 2); the cell edges are 8.080, 9.180 and 4.806 Å and the angles 90.00°, 90.00° and 90.00°. The asymmetric unit holds Ti at (0.250, 0.250, 0.001), Nb at (0.079, 0.562, 0.232), Nb at (0.250, 0.750, 0.770), Ge at (0.075, 0.250, 0.423) and Ge at (0.250, 0.024, 0.719).